Density functional theory data (PBE) for a relaxed structure of Pu4Ge2Ru.

total magnetization	21.20	μB/f.u.
formation energy	0	kJ per mole of atoms
VASP energy	-10.8348	eV per atom
symmetry	I4/mmm (139)

```
Pu4Ge2Ru
1.0
5.013 0.000 0.000
0.000 5.013 0.000
0.000 0.000 15.188
Pu Ge Ru
8 4 2
direct
0.000 0.000 0.186
0.000 0.000 0.814
0.000 0.500 0.000
0.000 0.500 0.500
0.500 0.000 0.000
0.500 0.000 0.500
0.500 0.500 0.314
0.500 0.500 0.686
0.000 0.000 0.375
0.000 0.000 0.625
0.500 0.500 0.125
0.500 0.500 0.875
0.000 0.000 0.000
0.500 0.500 0.500
```